Entry from Alexandria: a relaxed RbGa2MoF8 crystal (PBE+U).

```
data_RbGa2MoF8
_chemical_formula_sum 'Rb1 Ga2 Mo1 F8'
_cell_length_a 5.746
_cell_length_b 5.746
_cell_length_c 8.132
_cell_angle_alpha 69.31
_cell_angle_beta 69.31
_cell_angle_gamma 60.00
_space_group_name_H-M_alt 'P 1'
_space_group_IT_number 1
loop_
_space_group_symop_operation_xyz
'x,y,z'
loop_
_atom_site_label
_atom_site_type_symbol
_atom_site_fract_x
_atom_site_fract_y
_atom_site_fract_z
Rb1 Rb 0.500 0.500 0.500
Ga1 Ga 0.271 0.271 0.188
Ga2 Ga 0.729 0.729 0.812
Mo1 Mo 0.000 0.000 0.000
F1 F 0.188 0.188 0.435
F2 F 0.651 0.249 0.166
F3 F 0.812 0.812 0.565
F4 F 0.933 0.651 0.166
F5 F 0.067 0.349 0.834
F6 F 0.249 0.933 0.166
F7 F 0.751 0.067 0.834
F8 F 0.349 0.751 0.834
```

## Properties
Space group ... R-3, No. 148
Electronic total energy ... -56.43 eV for the cell shown